Compound: Ho3Tl2Ga
Source: Alexandria
Functional: PBE
Structure: relaxed

Lattice parameters (Å, degrees): 5.306 15.865 3.644 90.00 90.00 90.00
Atoms (fractional coordinates):
Ho 0.250 0.095 0.001
Ho 0.250 0.405 0.001
Ho 0.250 0.750 0.998
Ho 0.750 0.250 0.002
Ho 0.750 0.595 0.999
Ho 0.750 0.905 0.999
Tl 0.250 0.578 0.499
Tl 0.250 0.922 0.499
Tl 0.750 0.078 0.501
Tl 0.750 0.422 0.501
Ga 0.250 0.250 0.501
Ga 0.750 0.750 0.499

Output
Relative energy among the computed polymorphs: 12 meV/atom
Calculated volume: 25.56 Å³ per atom
Calculated density: 10.538 g cm⁻³

---

Compound: KZr2Hg
Source: Alexandria
Functional: PBE
Structure: relaxed

Lattice parameters (Å, degrees): 3.122 3.122 11.301 90.00 90.00 90.00
Atoms (fractional coordinates):
K 0.000 0.000 0.000
Zr 0.500 0.500 0.309
Zr 0.500 0.500 0.691
Hg 0.000 0.000 0.500

Output
Calculated volume: 27.54 Å³ per atom
VASP energy: -4.21 eV per atom
Calculated density: 6.364 g cm⁻³

---

Compound: MgH12C4S4O6
Source: Alexandria
Functional: PBE
Structure: relaxed

Lattice parameters (Å, degrees): 9.183 9.183 13.849 100.82 100.82 36.46
Atoms (fractional coordinates):
Mg 0.113 0.887 0.750
Mg 0.887 0.113 0.250
H 0.020 0.224 0.689
H 0.064 0.074 0.439
H 0.074 0.064 0.939
H 0.203 0.639 0.569
H 0.224 0.020 0.189
H 0.239 0.492 0.732
H 0.240 0.616 0.282
H 0.259 0.554 0.846
H 0.361 0.797 0.931
H 0.384 0.760 0.218
H 0.446 0.741 0.654
H 0.492 0.239 0.232
H 0.508 0.761 0.768
H 0.554 0.259 0.346
H 0.616 0.240 0.782
H 0.639 0.203 0.069
H 0.741 0.446 0.154
H 0.760 0.384 0.718
H 0.761 0.508 0.268
H 0.776 0.980 0.811
H 0.797 0.361 0.431
H 0.926 0.936 0.061
H 0.936 0.926 0.561
H 0.980 0.776 0.311
C 0.106 0.507 0.000
C 0.113 0.383 0.058
C 0.383 0.113 0.558
C 0.493 0.894 0.500
C 0.507 0.106 0.500
C 0.617 0.887 0.442
C 0.887 0.617 0.942
C 0.894 0.493 0.000
S 0.196 0.293 0.649
S 0.273 0.524 0.000
S 0.293 0.196 0.149
S 0.476 0.727 0.500
S 0.524 0.273 0.500
S 0.707 0.804 0.851
S 0.727 0.476 0.000
S 0.804 0.707 0.351
O 0.068 0.786 0.289
O 0.084 0.803 0.605
O 0.197 0.916 0.895
O 0.214 0.932 0.211
O 0.289 0.546 0.778
O 0.454 0.711 0.722
O 0.546 0.289 0.278
O 0.711 0.454 0.222
O 0.786 0.068 0.789
O 0.803 0.084 0.105
O 0.916 0.197 0.395
O 0.932 0.214 0.711

Output
Calculated volume: 12.60 Å³ per atom
VASP energy: -5.35 eV per atom
Calculated density: 1.507 g cm⁻³

---

Compound: HfBeSe2
Source: Alexandria
Functional: PBE
Structure: relaxed

Lattice parameters (Å, degrees): 6.485 6.485 6.485 126.31 126.31 79.38
Atoms (fractional coordinates):
Hf 0.000 0.000 0.000
Hf 0.750 0.250 0.500
Be 0.250 0.750 0.500
Be 0.500 0.500 0.000
Se 0.186 0.625 0.061
Se 0.375 0.436 0.561
Se 0.564 0.125 0.939
Se 0.875 0.814 0.439

Output
Calculated volume: 21.40 Å³ per atom
Formation energy (no corrections): -0.46 eV/atom
Calculated density: 6.702 g cm⁻³

---

Compound: TbCrP2Rh5
Source: Alexandria
Functional: PBE
Structure: relaxed

Lattice parameters (Å, degrees): 4.338 4.338 9.635 90.00 90.00 90.00
Atoms (fractional coordinates):
Tb 0.000 0.000 0.000
Cr 0.500 0.500 0.500
P 0.500 0.500 0.258
P 0.500 0.500 0.742
Rh 0.000 0.500 0.206
Rh 0.000 0.500 0.794
Rh 0.500 0.000 0.206
Rh 0.500 0.000 0.794
Rh 0.500 0.500 0.000

Output
Calculated volume: 20.15 Å³ per atom
VASP energy: -7.15 eV per atom
Calculated density: 7.211 g cm⁻³

---

Compound: P2Br
Source: Alexandria
Functional: PBE
Structure: relaxed

Lattice parameters (Å, degrees): 7.452 7.452 6.527 102.16 102.16 25.63
Atoms (fractional coordinates):
P 0.216 0.216 0.363
P 0.235 0.235 0.841
P 0.765 0.765 0.159
P 0.784 0.784 0.637
Br 0.078 0.078 0.791
Br 0.922 0.922 0.209

Output
Relative energy among the computed polymorphs: 182 meV/atom
Calculated volume: 25.51 Å³ per atom
Formation energy (no corrections): 0.13 eV/atom
Calculated density: 3.077 g cm⁻³